#P
{"formula": "SrTcP", "functional": "PBE", "state": "optimized geometry", "magnetic_moment_mub_per_fu": 3.90, "crystal_system": "cubic", "lattice": [[0.000, 3.469, 3.469], [3.469, 0.000, 3.469], [3.469, 3.469, 0.000]], "species": ["Sr", "Tc", "P"], "fractional_positions": [[0.000, 0.000, 0.000], [0.250, 0.250, 0.250], [0.750, 0.750, 0.750]]}

#Q
{"formula": "SrTcP", "functional": "PBE", "state": "optimized geometry", "magnetic_moment_mub_per_fu": 0.00, "crystal_system": "tetragonal", "lattice": [[4.066, 0.000, 0.000], [0.000, 4.066, 0.000], [0.000, 0.000, 8.960]], "species": ["Sr", "Sr", "Tc", "Tc", "P", "P"], "fractional_positions": [[0.250, 0.250, 0.199], [0.750, 0.750, 0.801], [0.250, 0.750, 0.500], [0.750, 0.250, 0.500], [0.250, 0.250, 0.639], [0.750, 0.750, 0.361]]}

Relative energies, eV/atom: #P 2.047; #Q 0.000.

#P
{"formula": "Sr2TeP2", "functional": "PBE", "state": "optimized geometry", "magnetic_moment_mub_per_fu": 0.00, "crystal_system": "tetragonal", "lattice": [[-1.972, 1.972, 8.718], [1.972, -1.972, 8.718], [1.972, 1.972, -8.718]], "species": ["Sr", "Sr", "Te", "P", "P"], "fractional_positions": [[0.112, 0.112, 0.000], [0.888, 0.888, 0.000], [0.500, 0.500, 0.000], [0.250, 0.750, 0.500], [0.750, 0.250, 0.500]]}

#Q
{"formula": "Sr2TeP2", "functional": "PBE", "state": "optimized geometry", "magnetic_moment_mub_per_fu": 1.45, "crystal_system": "tetragonal", "lattice": [[-2.888, 2.888, 4.551], [2.888, -2.888, 4.551], [2.888, 2.888, -4.551]], "species": ["Sr", "Sr", "Te", "P", "P"], "fractional_positions": [[0.250, 0.750, 0.500], [0.750, 0.250, 0.500], [0.000, 0.000, 0.000], [0.387, 0.387, 0.000], [0.613, 0.613, 0.000]]}

Relative energies, eV/atom: #P 0.000; #Q 0.096.